No. 1
MnPRh2: relaxed, GGA-PBE.

Unit cell a=3.6351 b=5.4279 c=5.4279 alpha=30.66 beta=90.00 gamma=90.00
Positions (direct):
Mn 0.0000 0.0000 0.0000
P 0.5000 0.5910 0.5910
Rh 0.0000 0.7246 0.7246
Rh 0.5000 0.3722 0.3722

Values from the calculation:
Fermi-level density of states ... 0.90 states/eV per atom
Symmetry ... Amm2 (38)
E_tot ... -30.49 eV per formula unit

***

No. 2
CsMgCd3: relaxed, GGA-PBE.

Unit cell a=7.0420 b=7.0420 c=7.0420 alpha=90.00 beta=90.00 gamma=90.00
Positions (direct):
Cs 0.0000 0.0000 0.0000
Mg 0.5000 0.5000 0.5000
Cd 0.0000 0.0000 0.5000
Cd 0.0000 0.5000 0.0000
Cd 0.5000 0.0000 0.0000

Values from the calculation:
Fermi-level density of states ... 0.87 states/eV per atom
Symmetry ... Pm-3m (221)
Relative energy among the computed polymorphs ... 593 meV per atom
E_tot ... -1.81 eV per formula unit

***

Calculated values (eV/atom) of energy of formation from the pure elements for the records, taken in order: -0.30 0.68.
Calculated values (Å³/atom) of V for the records, taken in order: 13.7 69.8.